Crystalline Tb2NbIn at its relaxed geometry, computed with PBE.

Results
Electronic total energy: -5.1051 eV per atom
Magnetic moment: 0.8 μB/f.u.
Space-group type: R-3m (166)

a = 11.615 Å, b = 11.615 Å, c = 11.615 Å
α = 16.02°, β = 16.02°, γ = 16.02°
Element x y z (fractional)
Tb (0.086, 0.086, 0.086)
Tb (0.914, 0.914, 0.914)
Nb (0.000, 0.000, 0.000)
In (0.500, 0.500, 0.500)

***

Crystalline Pa6Sn2C at its relaxed geometry, computed with PBE.

Results
Electronic total energy: -8.5081 eV per atom
Magnetic moment: 0.0 μB/f.u.
Space-group type: I4/mmm (139)

a = 6.745 Å, b = 6.745 Å, c = 6.745 Å
α = 123.09°, β = 123.09°, γ = 84.73°
Element x y z (fractional)
Pa (0.239, 0.239, 0.000)
Pa (0.268, 0.268, 0.536)
Pa (0.268, 0.732, 0.000)
Pa (0.732, 0.268, 0.000)
Pa (0.732, 0.732, 0.464)
Pa (0.761, 0.761, 0.000)
Sn (0.250, 0.750, 0.500)
Sn (0.750, 0.250, 0.500)
C (0.000, 0.000, 0.000)

***

Crystalline PWCl at its relaxed geometry, computed with PBE.

Results
Magnetic moment: 0.0 μB/f.u.
Space-group type: I4mm (107)
Energy above the lowest structure with this stoichiometry: 84 meV/atom
Formation energy (no corrections): 49 meV/atom

a = 6.685 Å, b = 6.685 Å, c = 6.685 Å
α = 153.97°, β = 153.97°, γ = 37.14°
Element x y z (fractional)
P (0.000, 0.000, 0.000)
W (0.608, 0.608, 0.000)
Cl (0.239, 0.239, 0.000)